# 1
InHgTeCl: relaxed, PBE-GGA.

The space group is P3m1 (No. 156) and the conventional cell measures 4.3179, 4.3179 and 8.6602 Å, with angles of 90.00, 90.00 and 120.00 degrees. The inequivalent atoms are In at (0.0000, 0.0000, 0.0000), Hg at (0.0000, 0.0000, 0.3124), Te at (0.3333, 0.6667, 0.8407) and Cl at (0.6667, 0.3333, 0.4693).

The uncorrected formation energy is -1.72 eV/f.u. The calculation puts the total magnetization at 0.0 μB per formula unit.



# 2
CsPaTe2: relaxed, PBE-GGA.

The space group is R3m (No. 160, hexagonal axes) and the conventional cell measures 4.4377, 4.4377 and 27.9057 Å, with angles of 90.00, 90.00 and 120.00 degrees. The inequivalent atoms are Cs at (0.0000, 0.0000, 0.0000), Pa at (0.0000, 0.0000, 0.8307), Te at (0.0000, 0.0000, 0.2299) and Te at (0.0000, 0.0000, 0.4320).

The value obtained for the density of states at the Fermi level is 19.39 states/eV per cell. The uncorrected formation energy is -3.59 eV/f.u. The calculation puts the total magnetization at 2.0 μB per formula unit.



# 3
Pm7NdY12: relaxed, PBE-GGA.

The space group is R-3 (No. 148, hexagonal axes) and the conventional cell measures 12.9877, 12.9877 and 13.7870 Å, with angles of 90.00, 90.00 and 120.00 degrees. The inequivalent atoms are Pm at (0.0000, 0.0000, 0.0000), Pm at (0.0682, 0.2018, 0.3458), Nd at (0.0000, 0.0000, 0.5000), Y at (0.0008, 0.5660, 0.7498) and Y at (0.0676, 0.8667, 0.8491).

The formation energy is 0.27 eV per atom. The distance to the lowest polymorph of the same formula is 0 meV per atom. The value obtained for the density of states at the Fermi level is 55.92 states/eV per cell. The calculation puts the total magnetization at 0.0 μB per formula unit.



# 4
PuAgAuCl6: relaxed, PBE-GGA.

The space group is P-31c (No. 163) and the conventional cell measures 6.6755, 6.6755 and 12.3700 Å, with angles of 90.00, 90.00 and 120.00 degrees. The inequivalent atoms are Pu at (0.3333, 0.6667, 0.2500), Ag at (0.3333, 0.6667, 0.7500), Au at (0.0000, 0.0000, 0.0000) and Cl at (0.0152, 0.3417, 0.1255).

The value obtained for the density of states at the Fermi level is 17.97 states/eV per cell. The uncorrected formation energy is -8.92 eV/f.u. The calculation puts the total magnetization at 4.0 μB per formula unit.